Entry 1:
The following is a DFT calculation (PBE) of an optimized crystal structure of Ba3LaBr.

Cell: 6.5258 6.5258 6.5258 Å, 90.00 90.00 90.00°
Last column: nearest neighbours and their distance in Å.
Sites, in units of the cell vectors:
Ba (0.0000, 0.0000, 0.5000)  2 La 3.26
Ba (0.0000, 0.5000, 0.0000)  2 La 3.26
Ba (0.5000, 0.0000, 0.0000)  2 La 3.26
La (0.0000, 0.0000, 0.0000)  6 Ba 3.26
Br (0.5000, 0.5000, 0.5000)  12 Ba 4.61

Computed properties:
Volume in Å³ per atom: 55.582
Formation energy (no corrections) in kJ/mol of atoms: 18.5
Final energy in eV per atom: -2.28
Space-group type: No. 221
N(E_F) in states/eV/f.u.: 6.7

---

Entry 2:
The following is a DFT calculation (PBE) of an optimized crystal structure of CaGe6Pt12.

Cell: 7.3315 7.3315 7.3315 Å, 106.52 106.52 106.52°
Last column: nearest neighbours and their distance in Å.
Sites, in units of the cell vectors:
Ca (0.0000, 0.0000, 0.0000)  6 Pt 3.13
Ge (0.2636, 0.2636, 0.6925)  7 Pt 2.51-2.63
Ge (0.2636, 0.6925, 0.2636)  7 Pt 2.51-2.63
Ge (0.3075, 0.7364, 0.7364)  7 Pt 2.51-2.63
Ge (0.6925, 0.2636, 0.2636)  7 Pt 2.51-2.63
Ge (0.7364, 0.3075, 0.7364)  7 Pt 2.51-2.63
Ge (0.7364, 0.7364, 0.3075)  7 Pt 2.51-2.63
Pt (0.1251, 0.5000, 0.8749)  4 Ge 2.51-2.53
Pt (0.1251, 0.8749, 0.5000)  4 Ge 2.51-2.53
Pt (0.1603, 0.4007, 0.4007)  3 Ge 2.61-2.63, 4 Pt 2.82-2.88
Pt (0.4007, 0.1603, 0.4007)  3 Ge 2.61-2.63, 4 Pt 2.82-2.88
Pt (0.4007, 0.4007, 0.1603)  3 Ge 2.61-2.63, 4 Pt 2.82-2.88
Pt (0.5000, 0.1251, 0.8749)  4 Ge 2.51-2.53
Pt (0.5000, 0.8749, 0.1251)  4 Ge 2.51-2.53
Pt (0.5993, 0.5993, 0.8397)  3 Ge 2.61-2.63, 4 Pt 2.82-2.88
Pt (0.5993, 0.8397, 0.5993)  3 Ge 2.61-2.63, 4 Pt 2.82-2.88
Pt (0.8397, 0.5993, 0.5993)  3 Ge 2.61-2.63, 4 Pt 2.82-2.88
Pt (0.8749, 0.1251, 0.5000)  4 Ge 2.51-2.53
Pt (0.8749, 0.5000, 0.1251)  4 Ge 2.51-2.53

Computed properties:
Volume in Å³ per atom: 17.496
Final energy in eV per atom: -5.78
Space-group type: No. 166
N(E_F) in states/eV/f.u.: 9.0

---

Entry 3:
The following is a DFT calculation (PBE) of an optimized crystal structure of CdAsP2.

Cell: 5.7075 9.5382 2.8132 Å, 90.00 108.59 90.00°
Last column: nearest neighbours and their distance in Å.
Sites, in units of the cell vectors:
Cd (0.0000, 0.0000, 0.0000)  2 Cd 2.81, 2 As 2.85, 4 P 2.90
Cd (0.5000, 0.5000, 0.0000)  2 Cd 2.81, 2 As 2.85, 4 P 2.90
As (0.0000, 0.5000, 0.0000)  2 As 2.81, 2 Cd 2.85, 4 P 2.90
As (0.5000, 0.0000, 0.0000)  2 As 2.81, 2 Cd 2.85, 4 P 2.90
P (0.2500, 0.2500, 0.5000)  4 P 2.81-2.85, 2 Cd 2.90, 2 As 2.90
P (0.2500, 0.7500, 0.5000)  4 P 2.81-2.85, 2 Cd 2.90, 2 As 2.90
P (0.7500, 0.2500, 0.5000)  4 P 2.81-2.85, 2 Cd 2.90, 2 As 2.90
P (0.7500, 0.7500, 0.5000)  4 P 2.81-2.85, 2 Cd 2.90, 2 As 2.90

Computed properties:
Volume in Å³ per atom: 18.145
Excess energy over the best structure of this formula in the dataset in meV/atom: 441
Final energy in eV per atom: -3.50
Space-group type: No. 12
N(E_F) in states/eV/f.u.: 1.8

---

Entry 4:
The following is a DFT calculation (PBE) of an optimized crystal structure of K4SbS4.

Cell: 8.4191 8.4191 8.4191 Å, 127.00 127.00 78.25°
Last column: nearest neighbours and their distance in Å.
Sites, in units of the cell vectors:
K (0.0000, 0.5000, 0.5000)  4 S 3.10
K (0.2059, 0.2059, 0.0000)  4 S 3.13-3.48
K (0.5000, 0.0000, 0.5000)  4 S 3.10
K (0.7941, 0.7941, 0.0000)  4 S 3.13-3.48
Sb (0.5000, 0.5000, 0.0000)  4 S 2.52
S (0.1946, 0.5803, 0.0000)  1 Sb 2.52
S (0.4197, 0.4197, 0.6143)  1 Sb 2.52
S (0.5803, 0.1946, 0.0000)  1 Sb 2.52
S (0.8054, 0.8054, 0.3857)  1 Sb 2.52

Computed properties:
Volume in Å³ per atom: 40.963
Formation energy (no corrections) in kJ/mol of atoms: -81.8
Final energy in eV per atom: -3.63
Space-group type: No. 121
N(E_F) in states/eV/f.u.: 3.6

---

Entry 5:
The following is a DFT calculation (PBE) of an optimized crystal structure of AlCr2TeW.

Cell: 4.7588 4.7588 4.9717 Å, 90.00 90.00 90.00°
Last column: nearest neighbours and their distance in Å.
Sites, in units of the cell vectors:
Al (0.0000, 0.0000, 0.0000)  2 W 2.49
Cr (0.0000, 0.5000, 0.5000)  2 W 2.38
Cr (0.5000, 0.0000, 0.5000)  2 W 2.38
Te (0.5000, 0.5000, 0.0000)  4 Al 3.37, 8 Cr 3.44
W (0.0000, 0.0000, 0.5000)  4 Cr 2.38, 2 Al 2.49

Computed properties:
Volume in Å³ per atom: 22.519
Formation energy (no corrections) in kJ/mol of atoms: 109.0
Final energy in eV per atom: -6.69
Space-group type: No. 123
N(E_F) in states/eV/f.u.: 2.0

---

Entry 6:
The following is a DFT calculation (PBE) of an optimized crystal structure of La2Sb2As.

Cell: 8.2139 8.2139 4.4526 Å, 90.00 90.00 90.00°
Last column: nearest neighbours and their distance in Å.
Sites, in units of the cell vectors:
La (0.1577, 0.3423, 0.0000)  6 Sb 3.13-3.38
La (0.3423, 0.8423, 0.0000)  6 Sb 3.13-3.38
La (0.6577, 0.1577, 0.0000)  6 Sb 3.13-3.38
La (0.8423, 0.6577, 0.0000)  6 Sb 3.13-3.38
Sb (0.1523, 0.6523, 0.5000)  2 As 3.12, 6 La 3.13-3.38
Sb (0.3477, 0.1523, 0.5000)  2 As 3.12, 6 La 3.13-3.38
Sb (0.6523, 0.8477, 0.5000)  2 As 3.12, 6 La 3.13-3.38
Sb (0.8477, 0.3477, 0.5000)  2 As 3.12, 6 La 3.13-3.38
As (0.0000, 0.0000, 0.5000)  4 Sb 3.12
As (0.5000, 0.5000, 0.5000)  4 Sb 3.12

Computed properties:
Volume in Å³ per atom: 30.041
Formation energy (no corrections) in kJ/mol of atoms: -78.9
Excess energy over the best structure of this formula in the dataset in meV/atom: 102
Final energy in eV per atom: -5.37
Space-group type: No. 127
N(E_F) in states/eV/f.u.: 3.3

---

Entry 7:
The following is a DFT calculation (PBE) of an optimized crystal structure of KSr2La2.

Cell: 4.5572 4.5572 26.4031 Å, 90.00 90.00 90.00°
Last column: nearest neighbours and their distance in Å.
Sites, in units of the cell vectors:
K (0.0000, 0.0000, 0.0000)  4 K 4.56, 8 Sr 4.60
K (0.5000, 0.5000, 0.5000)  4 K 4.56, 8 Sr 4.60
Sr (0.0000, 0.0000, 0.3757)  4 La 4.03
Sr (0.0000, 0.0000, 0.6243)  4 La 4.03
Sr (0.5000, 0.5000, 0.1243)  4 La 4.03
Sr (0.5000, 0.5000, 0.8757)  4 La 4.03
La (0.0000, 0.5000, 0.2500)  4 La 3.22
La (0.0000, 0.5000, 0.7500)  4 La 3.22
La (0.5000, 0.0000, 0.2500)  4 La 3.22
La (0.5000, 0.0000, 0.7500)  4 La 3.22

Computed properties:
Volume in Å³ per atom: 54.834
Excess energy over the best structure of this formula in the dataset in meV/atom: 0
Final energy in eV per atom: -2.55
Space-group type: No. 139
N(E_F) in states/eV/f.u.: 8.0

---

Entry 8:
The following is a DFT calculation (PBE) of an optimized crystal structure of MnBPdAu2.

Cell: 4.9080 4.9080 4.7088 Å, 90.00 90.00 90.00°
Last column: nearest neighbours and their distance in Å.
Sites, in units of the cell vectors:
Mn (0.0000, 0.0000, 0.0000)  2 Pd 2.35, 4 Au 2.45
B (0.5000, 0.5000, 0.5000)  8 Au 3.40, 4 Pd 3.47
Pd (0.0000, 0.0000, 0.5000)  2 Mn 2.35
Au (0.0000, 0.5000, 0.0000)  2 Mn 2.45
Au (0.5000, 0.0000, 0.0000)  2 Mn 2.45

Computed properties:
Volume in Å³ per atom: 22.686
Final energy in eV per atom: -3.94
Space-group type: No. 123
N(E_F) in states/eV/f.u.: 2.0

---

Entry 9:
The following is a DFT calculation (PBE) of an optimized crystal structure of La4OsCl2F.

Cell: 6.7584 4.0582 7.9447 Å, 90.00 107.63 90.00°
Last column: nearest neighbours and their distance in Å.
Sites, in units of the cell vectors:
La (0.2301, 0.0000, 0.2112)  2 F 2.79, 1 Os 2.83
La (0.2577, 0.5000, 0.7887)  1 F 2.76, 2 Os 2.82
La (0.7423, 0.5000, 0.2113)  1 F 2.76, 2 Os 2.82
La (0.7699, 0.0000, 0.7888)  2 F 2.79, 1 Os 2.83
Os (0.5000, 0.0000, 0.0000)  6 La 2.82-2.83
Cl (0.0000, 0.0000, 0.5000)  6 La 3.14-3.16
Cl (0.5000, 0.5000, 0.5000)  6 La 3.19-3.20
F (0.0000, 0.5000, 0.0000)  6 La 2.76-2.79

Computed properties:
Volume in Å³ per atom: 25.958
Formation energy (no corrections) in kJ/mol of atoms: -141.1
Final energy in eV per atom: -6.03
Space-group type: No. 10
N(E_F) in states/eV/f.u.: 3.8

---

Entry 10:
The following is a DFT calculation (PBE) of an optimized crystal structure of MnPd4Au.

Cell: 4.6663 8.5256 4.6430 Å, 90.00 90.00 90.00°
Last column: nearest neighbours and their distance in Å.
Sites, in units of the cell vectors:
Mn (0.0000, 0.0000, 0.0000)  10 Pd 2.70-2.85
Mn (0.5000, 0.5000, 0.0000)  10 Pd 2.70-2.85
Pd (0.0000, 0.1610, 0.5000)  2 Mn 2.70, 3 Au 2.71-2.89, 5 Pd 2.74-2.78
Pd (0.0000, 0.3338, 0.0000)  2 Au 2.72, 3 Mn 2.73-2.85, 5 Pd 2.74-2.83
Pd (0.0000, 0.6662, 0.0000)  2 Au 2.72, 3 Mn 2.73-2.85, 5 Pd 2.74-2.83
Pd (0.0000, 0.8390, 0.5000)  2 Mn 2.70, 3 Au 2.71-2.89, 5 Pd 2.74-2.78
Pd (0.5000, 0.1662, 0.0000)  2 Au 2.72, 3 Mn 2.73-2.85, 5 Pd 2.74-2.83
Pd (0.5000, 0.3390, 0.5000)  2 Mn 2.70, 3 Au 2.71-2.89, 5 Pd 2.74-2.78
Pd (0.5000, 0.6610, 0.5000)  2 Mn 2.70, 3 Au 2.71-2.89, 5 Pd 2.74-2.78
Pd (0.5000, 0.8338, 0.0000)  2 Au 2.72, 3 Mn 2.73-2.85, 5 Pd 2.74-2.83
Au (0.0000, 0.5000, 0.5000)  10 Pd 2.71-2.89
Au (0.5000, 0.0000, 0.5000)  10 Pd 2.71-2.89

Computed properties:
Volume in Å³ per atom: 15.393
Excess energy over the best structure of this formula in the dataset in meV/atom: 373
Final energy in eV per atom: -5.33
Space-group type: No. 65
N(E_F) in states/eV/f.u.: 8.4

---

Entry 11:
The following is a DFT calculation (PBE) of an optimized crystal structure of NaMgCl3.

Cell: 6.7050 6.7050 6.4830 Å, 90.00 90.00 120.00°
Last column: nearest neighbours and their distance in Å.
Sites, in units of the cell vectors:
Na (0.0000, 0.0000, 0.0000)  6 Cl 2.83
Na (0.0000, 0.0000, 0.5000)  6 Cl 2.83
Mg (0.6667, 0.3333, 0.0000)  6 Cl 2.54
Mg (0.6667, 0.3333, 0.5000)  6 Cl 2.54
Cl (0.3676, 0.0499, 0.2500)  2 Mg 2.54, 2 Na 2.83
Cl (0.3676, 0.3177, 0.7500)  2 Mg 2.54, 2 Na 2.83
Cl (0.6823, 0.0499, 0.7500)  2 Mg 2.54, 2 Na 2.83
Cl (0.6823, 0.6324, 0.2500)  2 Mg 2.54, 2 Na 2.83
Cl (0.9501, 0.3177, 0.2500)  2 Mg 2.54, 2 Na 2.83
Cl (0.9501, 0.6324, 0.7500)  2 Mg 2.54, 2 Na 2.83

Computed properties:
Volume in Å³ per atom: 25.241
Formation energy (no corrections) in kJ/mol of atoms: -172.3
Excess energy over the best structure of this formula in the dataset in meV/atom: 45
Final energy in eV per atom: -3.48
Space-group type: No. 188
N(E_F) in states/eV/f.u.: 0.0

---

Entry 12:
The following is a DFT calculation (PBE) of an optimized crystal structure of Pr8HoSc5.

Cell: 8.4009 8.4009 8.4009 Å, 111.24 111.24 106.00°
Last column: nearest neighbours and their distance in Å.
Sites, in units of the cell vectors:
Pr (0.1745, 0.4033, 0.5789)  4 Sc 3.16-3.38, 1 Ho 3.22
Pr (0.3318, 0.2281, 0.2392)  5 Sc 3.31-3.67, 3 Pr 3.50-3.58
Pr (0.4043, 0.8255, 0.2288)  4 Sc 3.16-3.38, 1 Ho 3.22
Pr (0.5967, 0.1756, 0.7712)  4 Sc 3.16-3.38, 1 Ho 3.22
Pr (0.7719, 0.0111, 0.1037)  5 Sc 3.31-3.67, 3 Pr 3.50-3.58
Pr (0.8244, 0.5957, 0.4211)  4 Sc 3.16-3.38, 1 Ho 3.22
Pr (0.9074, 0.6682, 0.8963)  5 Sc 3.31-3.67, 3 Pr 3.50-3.58
Pr (0.9889, 0.0926, 0.7608)  5 Sc 3.31-3.67, 3 Pr 3.50-3.58
Ho (0.5000, 0.5000, 0.0000)  4 Pr 3.22
Sc (0.0734, 0.4834, 0.1984)  7 Pr 3.26-3.59, 2 Sc 3.31
Sc (0.1250, 0.9266, 0.4100)  7 Pr 3.26-3.59, 2 Sc 3.31
Sc (0.2850, 0.8750, 0.8016)  7 Pr 3.26-3.59, 2 Sc 3.31
Sc (0.5166, 0.7150, 0.5900)  7 Pr 3.26-3.59, 2 Sc 3.31
Sc (0.7500, 0.2500, 0.5000)  8 Pr 3.16-3.31

Computed properties:
Volume in Å³ per atom: 32.511
Final energy in eV per atom: -5.06
Space-group type: No. 82
N(E_F) in states/eV/f.u.: 22.5

---

Repeat the eighth record exactly.
The following is a DFT calculation (PBE) of an optimized crystal structure of MnBPdAu2.

Cell: 4.9080 4.9080 4.7088 Å, 90.00 90.00 90.00°
Last column: nearest neighbours and their distance in Å.
Sites, in units of the cell vectors:
Mn (0.0000, 0.0000, 0.0000)  2 Pd 2.35, 4 Au 2.45
B (0.5000, 0.5000, 0.5000)  8 Au 3.40, 4 Pd 3.47
Pd (0.0000, 0.0000, 0.5000)  2 Mn 2.35
Au (0.0000, 0.5000, 0.0000)  2 Mn 2.45
Au (0.5000, 0.0000, 0.0000)  2 Mn 2.45

Computed properties:
Volume in Å³ per atom: 22.686
Final energy in eV per atom: -3.94
Space-group type: No. 123
N(E_F) in states/eV/f.u.: 2.0